No. 1
First-principles (PBE) data for a relaxed structure of Mg2ScAu, as listed in Alexandria.

Cell lengths 5.9586, 5.9586, 4.9705 Å; angles 114.22, 114.22, 31.74 degrees
Last column: nearest neighbours and their distance in Å.
Element x y z (fractional)
Mg (0.2186, 0.2186, 0.2189)  2 Au 2.79, 4 Mg 3.04
Mg (0.7814, 0.7814, 0.7811)  2 Au 2.79, 4 Mg 3.04
Sc (0.0000, 0.0000, 0.5000)  4 Au 2.97, 2 Sc 3.26
Au (0.5000, 0.5000, 0.0000)  4 Mg 2.79, 4 Sc 2.97

**Space group**: C2/m
**Density of states at the Fermi level**: 0.550 states/eV/atom
**Total magnetization**: 0.00 μB/f.u.

No. 2
First-principles (PBE) data for a relaxed structure of MgSc2Au4, as listed in Alexandria.

Cell lengths 8.0839, 8.0839, 8.0839 Å; angles 33.56, 33.56, 33.56 degrees
Last column: nearest neighbours and their distance in Å.
Element x y z (fractional)
Mg (0.0000, 0.0000, 0.0000)  8 Au 2.85-2.86
Sc (0.2471, 0.2471, 0.2471)  8 Au 2.79-2.89
Sc (0.7529, 0.7529, 0.7529)  8 Au 2.79-2.89
Au (0.1250, 0.1250, 0.1250)  4 Sc 2.79-2.84, 1 Mg 2.86
Au (0.3735, 0.3735, 0.3735)  3 Mg 2.85, 4 Sc 2.89
Au (0.6265, 0.6265, 0.6265)  3 Mg 2.85, 4 Sc 2.89
Au (0.8750, 0.8750, 0.8750)  4 Sc 2.79-2.84, 1 Mg 2.86

**Space group**: R-3m
**Density of states at the Fermi level**: 0.819 states/eV/atom
**Total magnetization**: 0.00 μB/f.u.

Number 1: E_form -0.353 eV/atom. Number 2: E_form -0.596 eV/atom.